# 1
This record from Alexandria describes SiRh after structural relaxation. The functional is PBEsol.

As for the formation energy (no corrections): -0.891 eV/atom. The size of the total moment is 0.00 μB per cell.

Cell: 4.5716 4.5717 5.3892 Å, 66.77 90.00 90.00°
Atoms (fractional coordinates):
Rh1 0.1462 0.1876 0.1129
Rh2 0.6462 0.3124 0.3871
Rh3 0.8538 0.8124 0.8871
Rh4 0.3538 0.6876 0.6129
Si1 0.1481 0.2257 0.5669
Si2 0.6481 0.2743 0.9331
Si3 0.8519 0.7743 0.4331
Si4 0.3519 0.7257 0.0669



# 2
This record from Alexandria describes Si2Rh after structural relaxation. The functional is PBEsol.

As for the formation energy (no corrections): -0.411 eV/atom. The size of the total moment is 0.00 μB per cell.

Cell: 3.0510 6.7877 6.7877 Å, 120.00 90.00 90.00°
Atoms (fractional coordinates):
Rh1 0.0000 0.6667 0.3333
Rh2 0.0000 0.3333 0.6667
Rh3 0.5000 0.0000 0.0000
Si1 0.0000 0.7168 0.7168
Si2 0.0000 0.0000 0.2832
Si3 0.0000 0.2832 0.0000
Si4 0.5000 0.3797 0.3797
Si5 0.5000 0.0000 0.6203
Si6 0.5000 0.6203 0.0000



# 3
This record from Alexandria describes Si3Rh5 after structural relaxation. The functional is PBEsol.

As for the formation energy (no corrections): -0.810 eV/atom. The size of the total moment is 0.00 μB per cell.

Cell: 3.8964 5.2712 10.0992 Å, 90.00 90.00 90.00°
Atoms (fractional coordinates):
Rh1 0.0000 0.0000 0.5000
Rh2 0.0000 0.5000 0.0000
Rh3 0.0000 0.1552 0.7844
Rh4 0.0000 0.8448 0.2156
Rh5 0.0000 0.3448 0.2844
Rh6 0.0000 0.6552 0.7156
Rh7 0.5000 0.3299 0.6068
Rh8 0.5000 0.6701 0.3932
Rh9 0.5000 0.1701 0.1068
Rh10 0.5000 0.8299 0.8932
Si1 0.0000 0.0000 0.0000
Si2 0.0000 0.5000 0.5000
Si3 0.5000 0.3910 0.8497
Si4 0.5000 0.6090 0.1503
Si5 0.5000 0.1090 0.3497
Si6 0.5000 0.8910 0.6503



# 4
This record from Alexandria describes Si5Rh4 after structural relaxation. The functional is PBEsol.

As for the formation energy (no corrections): -0.806 eV/atom. The size of the total moment is 0.00 μB per cell.

Cell: 3.5218 5.8925 12.2814 Å, 100.08 90.00 90.00°
Atoms (fractional coordinates):
Si1 0.7500 0.4878 0.9223
Si2 0.7500 0.0204 0.8602
Si3 0.2500 0.3591 0.3648
Si4 0.2500 0.1083 0.5771
Si5 0.2500 0.5329 0.7755
Si6 0.2500 0.5122 0.0777
Si7 0.7500 0.6409 0.6352
Si8 0.7500 0.4671 0.2245
Si9 0.2500 0.9796 0.1398
Si10 0.7500 0.8917 0.4229
Rh1 0.2500 0.6987 0.5006
Rh2 0.7500 0.3013 0.4994
Rh3 0.7500 0.1051 0.2731
Rh4 0.2500 0.8949 0.7269
Rh5 0.2500 0.7156 0.2712
Rh6 0.2500 0.7930 0.9497
Rh7 0.7500 0.2070 0.0503
Rh8 0.7500 0.2844 0.7288



# 5
This record from Alexandria describes Si13Rh20 after structural relaxation. The functional is PBEsol.

As for the formation energy (no corrections): -0.804 eV/atom. The size of the total moment is 0.00 μB per cell.

Cell: 3.6127 11.7624 11.7624 Å, 120.00 90.00 90.00°
Atoms (fractional coordinates):
Si1 0.7507 0.8328 0.3839
Si2 0.7507 0.5511 0.1672
Si3 0.7507 0.6161 0.4489
Si4 0.2493 0.1672 0.6161
Si5 0.2493 0.4489 0.8328
Si6 0.2493 0.3839 0.5511
Si7 0.0000 0.0000 0.0000
Si8 0.7526 0.8904 0.6599
Si9 0.7526 0.7695 0.1096
Si10 0.7526 0.3401 0.2305
Si11 0.2474 0.1096 0.3401
Si12 0.2474 0.2305 0.8904
Si13 0.2474 0.6599 0.7695
Rh1 0.7526 0.3333 0.6667
Rh2 0.2474 0.6667 0.3333
Rh3 0.7507 0.1830 0.9939
Rh4 0.7507 0.8110 0.8170
Rh5 0.7507 0.0061 0.1890
Rh6 0.2493 0.8170 0.0061
Rh7 0.2493 0.1890 0.1830
Rh8 0.2493 0.9939 0.8110
Rh9 0.7468 0.1267 0.7274
Rh10 0.7468 0.6007 0.8733
Rh11 0.7468 0.2726 0.3993
Rh12 0.2532 0.8733 0.2726
Rh13 0.2532 0.3993 0.1267
Rh14 0.2532 0.7274 0.6007
Rh15 0.7486 0.0706 0.4609
Rh16 0.7486 0.3903 0.9294
Rh17 0.7486 0.5391 0.6097
Rh18 0.2514 0.9294 0.5391
Rh19 0.2514 0.6097 0.0706
Rh20 0.2514 0.4609 0.3903



# 6
This record from Alexandria describes Si5Rh after structural relaxation. The functional is PBEsol.

As for the formation energy (no corrections): 0.112 eV/atom. The size of the total moment is 0.00 μB per cell.

Cell: 4.4673 4.4673 4.7338 Å, 90.00 90.00 120.00°
Atoms (fractional coordinates):
Rh1 0.0000 0.0000 0.5000
Si1 0.3287 0.3287 0.0000
Si2 0.6713 0.0000 0.0000
Si3 0.0000 0.6713 0.0000
Si4 0.3333 0.6667 0.5000
Si5 0.6667 0.3333 0.5000



# 7
This record from Alexandria describes SiRh after structural relaxation. The functional is PBEsol.

As for the formation energy (no corrections): -0.664 eV/atom. The size of the total moment is 0.00 μB per cell.

Cell: 2.8449 2.8449 4.0739 Å, 69.56 69.56 60.00°
Atoms (fractional coordinates):
Si1 0.5000 0.5000 0.5000
Rh1 0.0000 0.0000 0.0000



# 8
This record from Alexandria describes Si2Rh after structural relaxation. The functional is PBEsol.

As for the formation energy (no corrections): -0.179 eV/atom. The size of the total moment is 0.00 μB per cell.

Cell: 2.6376 4.3217 4.3217 Å, 120.00 90.00 90.00°
Atoms (fractional coordinates):
Si1 0.9754 0.3333 0.6667
Si2 0.0246 0.6667 0.3333
Rh1 0.0000 0.0000 0.0000



# 9
This record from Alexandria describes Sm2Si5Rh3 after structural relaxation. The functional is PBEsol.

As for the formation energy (no corrections): -1.046 eV/atom. The size of the total moment is 0.00 μB per cell.

Cell: 5.7322 8.1268 8.1268 Å, 74.44 69.35 69.35°
Atoms (fractional coordinates):
Sm1 0.8684 0.3638 0.8994
Sm2 0.1316 0.6362 0.1006
Sm3 0.3684 0.8994 0.3638
Sm4 0.6316 0.1006 0.6362
Si1 0.0278 0.7222 0.7222
Si2 0.9722 0.2778 0.2778
Si3 0.4722 0.2778 0.2778
Si4 0.5278 0.7222 0.7222
Si5 0.6052 0.5517 0.2378
Si6 0.3948 0.4483 0.7622
Si7 0.1052 0.2378 0.5517
Si8 0.8948 0.7622 0.4483
Si9 0.7500 0.0000 0.0000
Si10 0.2500 0.0000 0.0000
Rh1 0.6394 0.7525 0.9687
Rh2 0.3606 0.2475 0.0313
Rh3 0.1394 0.9687 0.7525
Rh4 0.8606 0.0313 0.2475
Rh5 0.7500 0.5000 0.5000
Rh6 0.2500 0.5000 0.5000



# 10
This record from Alexandria describes SmSi2Rh3 after structural relaxation. The functional is PBEsol.

As for the formation energy (no corrections): -1.059 eV/atom. The size of the total moment is 0.00 μB per cell.

Cell: 3.6538 5.4772 5.4772 Å, 120.00 90.00 90.00°
Atoms (fractional coordinates):
Si1 0.0000 0.6667 0.3333
Si2 0.0000 0.3333 0.6667
Rh1 0.5000 0.5000 0.5000
Rh2 0.5000 0.0000 0.5000
Rh3 0.5000 0.5000 0.0000
Sm1 0.0000 0.0000 0.0000



# 11
This record from Alexandria describes Sm3Si2Rh2 after structural relaxation. The functional is PBEsol.

As for the formation energy (no corrections): -0.910 eV/atom. The size of the total moment is 0.00 μB per cell.

Cell: 5.5782 7.7968 13.0761 Å, 90.00 90.00 90.00°
Atoms (fractional coordinates):
Sm1 0.6380 0.2456 0.2500
Sm2 0.3620 0.7544 0.7500
Sm3 0.3620 0.7456 0.2500
Sm4 0.6380 0.2544 0.7500
Sm5 0.1369 0.3892 0.1014
Sm6 0.8631 0.6108 0.8986
Sm7 0.8631 0.6108 0.6014
Sm8 0.8631 0.8892 0.3986
Sm9 0.1369 0.3892 0.3986
Sm10 0.1369 0.1108 0.6014
Sm11 0.1369 0.1108 0.8986
Sm12 0.8631 0.8892 0.1014
Si1 0.1489 0.0990 0.2500
Si2 0.8511 0.9010 0.7500
Si3 0.8511 0.5990 0.2500
Si4 0.1489 0.4010 0.7500
Si5 0.6293 0.2500 0.0000
Si6 0.3707 0.7500 0.0000
Si7 0.3707 0.7500 0.5000
Si8 0.6293 0.2500 0.5000
Rh1 0.3730 0.0331 0.0904
Rh2 0.6270 0.9669 0.9096
Rh3 0.6270 0.9669 0.5904
Rh4 0.6270 0.5331 0.4096
Rh5 0.3730 0.0331 0.4096
Rh6 0.3730 0.4669 0.5904
Rh7 0.3730 0.4669 0.9096
Rh8 0.6270 0.5331 0.0904



# 12
This record from Alexandria describes SiSnRh3 after structural relaxation. The functional is PBEsol.

As for the formation energy (no corrections): 0.016 eV/atom. The size of the total moment is 0.00 μB per cell.

Cell: 4.3679 4.3679 4.3679 Å, 90.00 90.00 90.00°
Atoms (fractional coordinates):
Si1 0.0000 0.0000 0.0000
Rh1 0.0000 0.5000 0.0000
Rh2 0.0000 0.0000 0.5000
Rh3 0.5000 0.0000 0.0000
Sn1 0.5000 0.5000 0.5000



# 13
This record from Alexandria describes Sr2SiRh after structural relaxation. The functional is PBEsol.

As for the formation energy (no corrections): -0.483 eV/atom. The size of the total moment is 0.00 μB per cell.

Cell: 4.1933 4.7322 5.9025 Å, 113.63 90.00 90.00°
Atoms (fractional coordinates):
Sr1 0.0000 0.9808 0.9616
Sr2 0.5000 0.2698 0.5397
Si1 0.5000 0.5775 0.1551
Rh1 0.0000 0.6708 0.3416



# 14
This record from Alexandria describes TaSiRh2 after structural relaxation. The functional is PBEsol.

As for the formation energy (no corrections): -0.401 eV/atom. The size of the total moment is 0.00 μB per cell.

Cell: 2.7875 4.5346 4.5346 Å, 90.00 90.00 90.00°
Atoms (fractional coordinates):
Rh1 0.0000 0.0000 0.5000
Rh2 0.0000 0.5000 0.0000
Si1 0.5000 0.5000 0.5000
Ta1 0.5000 0.0000 0.0000



# 15
This record from Alexandria describes TaSiRh2 after structural relaxation. The functional is PBEsol.

As for the formation energy (no corrections): -0.502 eV/atom. The size of the total moment is 0.00 μB per cell.

Cell: 3.7402 3.8958 3.8958 Å, 90.00 90.00 90.00°
Atoms (fractional coordinates):
Rh1 0.0000 0.0000 0.5000
Rh2 0.0000 0.5000 0.0000
Si1 0.5000 0.5000 0.5000
Ta1 0.5000 0.0000 0.0000



# 16
This record from Alexandria describes TaSiRh2 after structural relaxation. The functional is PBEsol.

As for the formation energy (no corrections): -0.318 eV/atom. The size of the total moment is 0.00 μB per cell.

Cell: 2.7967 2.7967 8.6230 Å, 80.67 80.67 60.00°
Atoms (fractional coordinates):
Rh1 0.9996 0.9996 0.0013
Rh2 0.7570 0.7570 0.7290
Si1 0.4949 0.4949 0.5154
Ta1 0.2486 0.2486 0.2543



# 17
This record from Alexandria describes Ta2SiRh after structural relaxation. The functional is PBEsol.

As for the formation energy (no corrections): -0.173 eV/atom. The size of the total moment is 0.00 μB per cell.

Cell: 2.8432 2.8432 9.0019 Å, 80.91 80.91 60.00°
Atoms (fractional coordinates):
Rh1 0.5000 0.5000 0.5000
Si1 0.0000 0.0000 0.0000
Ta1 0.2503 0.2503 0.2491
Ta2 0.7497 0.7497 0.7509



# 18
This record from Alexandria describes TaSi2Rh after structural relaxation. The functional is PBEsol.

As for the formation energy (no corrections): -0.513 eV/atom. The size of the total moment is 0.00 μB per cell.

Cell: 2.9430 4.3462 4.3462 Å, 90.00 90.00 90.00°
Atoms (fractional coordinates):
Rh1 0.5000 0.0000 0.0000
Si1 0.0000 0.0000 0.5000
Si2 0.0000 0.5000 0.0000
Ta1 0.5000 0.5000 0.5000



# 19
This record from Alexandria describes TaSiRh2 after structural relaxation. The functional is PBEsol.

As for the formation energy (no corrections): -0.527 eV/atom. The size of the total moment is 0.00 μB per cell.

Cell: 2.8595 2.8595 6.8860 Å, 90.00 90.00 90.00°
Atoms (fractional coordinates):
Rh1 0.0000 0.0000 0.0015
Rh2 0.5000 0.5000 0.2846
Si1 0.0000 0.0000 0.4759
Ta1 0.5000 0.5000 0.7380



# 20
This record from Alexandria describes Ta2SiRh after structural relaxation. The functional is PBEsol.

As for the formation energy (no corrections): -0.196 eV/atom. The size of the total moment is 0.00 μB per cell.

Cell: 2.8617 2.8617 8.9391 Å, 80.79 80.79 60.00°
Atoms (fractional coordinates):
Rh1 0.5075 0.5075 0.4775
Si1 0.2433 0.2433 0.2700
Ta1 0.9933 0.9933 0.0200
Ta2 0.7558 0.7558 0.7326